# PBE-GGA Sn2SbAu, optimized geometry
# **Raw total energy**: -3.84 eV/atom
# **Symmetry**: I-42d
data_Sn2SbAu
_chemical_formula_sum 'Sn4 Sb2 Au2'
_space_group_name_H-M_alt 'P 1'
_space_group_IT_number 1
_cell_length_a 6.5577
_cell_length_b 6.5577
_cell_length_c 7.8636
_cell_angle_alpha 65.36
_cell_angle_beta 65.36
_cell_angle_gamma 90.00
loop_
_space_group_symop_operation_xyz
'x,y,z'
loop_
_atom_site_label
_atom_site_type_symbol
_atom_site_fract_x
_atom_site_fract_y
_atom_site_fract_z
_atom_site_occupancy
Sb1 Sb 0.5000 0.5000 0.0000 1
Sb2 Sb 0.2500 0.7500 0.5000 1
Au1 Au 0.0000 0.0000 0.0000 1
Au2 Au 0.7500 0.2500 0.5000 1
Sn1 Sn 0.6546 0.1250 0.2500 1
Sn2 Sn 0.0954 0.6250 0.2500 1
Sn3 Sn 0.3750 0.3454 0.7500 1
Sn4 Sn 0.8750 0.9046 0.7500 1